A relaxed structure of PmCu3Ni4O12, computed with PBE+U.

Computed properties:
D(E_F) in states/eV/f.u.: 6.0
Crystal system: cubic
Total energy in eV per atom: -5.327
Total magnetic moment in Bohr magnetons per cell: 3.958

abc: 6.3358 6.3358 6.3358
angles: 109.47 109.47 109.47
Atoms (fractional coordinates):
1 Pm 0.0000 0.0000 0.0000
2 Cu 0.0000 0.5000 0.5000
3 Cu 0.5000 0.0000 0.5000
4 Cu 0.5000 0.5000 0.0000
5 Ni 0.0000 0.0000 0.5000
6 Ni 0.0000 0.5000 0.0000
7 Ni 0.5000 0.0000 0.0000
8 Ni 0.5000 0.5000 0.5000
9 O 0.1392 0.8301 0.3090
10 O 0.1699 0.3090 0.4789
11 O 0.1699 0.6910 0.8608
12 O 0.3090 0.1392 0.8301
13 O 0.3090 0.4789 0.1699
14 O 0.4789 0.1699 0.3090
15 O 0.5211 0.8301 0.6910
16 O 0.6910 0.5211 0.8301
17 O 0.6910 0.8608 0.1699
18 O 0.8301 0.3090 0.1392
19 O 0.8301 0.6910 0.5211
20 O 0.8608 0.1699 0.6910